Density functional theory data (PBE) for a relaxed YOsSe crystal.

Cell: 5.9877 5.9873 3.2382 Å, 74.32 74.30 31.38°
Closest atoms and distances in Å follow each position.
Element x y z (fractional)
Os 0.9850 0.9850 0.0150  4 Se 2.70, 4 Y 3.00
Y 0.6597 0.6597 0.3403  4 Os 3.00, 4 Se 3.15, 4 Y 3.24
Se 0.3554 0.3554 0.6446  4 Os 2.70

Crystal system: tetragonal
Polymorph energy (0 for the lowest one): 1.15 eV per formula unit
Energy relative to the elements, uncorrected: -53.7 meV per atom

Density functional theory data (PBE) for a relaxed TmZrTiIn crystal.

Cell: 5.0704 5.0704 5.0704 Å, 60.00 60.00 60.00°
Closest atoms and distances in Å follow each position.
Element x y z (fractional)
Ti 0.7500 0.7500 0.7500  4 Tm 3.10, 4 Zr 3.10
Zr 0.0000 0.0000 0.0000  4 In 3.10, 4 Ti 3.10
Tm 0.5000 0.5000 0.5000  4 Ti 3.10, 4 In 3.10
In 0.2500 0.2500 0.2500  4 Zr 3.10, 4 Tm 3.10

Crystal system: cubic
Formation energy: -0.064 eV per atom

Density functional theory data (PBE) for a relaxed CrPPt2Br crystal.

Cell: 4.7559 4.8356 4.7559 Å, 90.00 90.00 90.00°
Closest atoms and distances in Å follow each position.
Element x y z (fractional)
P 0.0000 0.5000 0.0000  2 Br 2.42
Br 0.0000 0.0000 0.0000  4 Pt 2.38, 2 P 2.42
Cr 0.5000 0.5000 0.5000  4 P 3.36, 8 Pt 3.39
Pt 0.5000 0.0000 0.0000  2 Br 2.38
Pt 0.0000 0.0000 0.5000  2 Br 2.38

Crystal system: tetragonal
Polymorph energy (0 for the lowest one): 5.57 eV per formula unit
Energy relative to the elements, uncorrected: 1424.3 meV per atom

Density functional theory data (PBE) for a relaxed Sr3Tl4Sn crystal.

Cell: 3.9097 7.0076 10.9732 Å, 108.62 100.26 90.00°
Closest atoms and distances in Å follow each position.
Element x y z (fractional)
Tl 0.6229 0.3842 0.2459  1 Sn 3.11, 1 Tl 3.35, 3 Sr 3.41-3.48
Tl 0.6229 0.8617 0.2459  1 Sn 3.11, 1 Tl 3.35, 3 Sr 3.41-3.48
Tl 0.3771 0.6158 0.7541  1 Sn 3.11, 1 Tl 3.35, 3 Sr 3.41-3.48
Tl 0.3771 0.1383 0.7541  1 Sn 3.11, 1 Tl 3.35, 3 Sr 3.41-3.48
Sn 0.5000 0.0000 0.0000  4 Tl 3.11
Sr 0.2316 0.2316 0.4631  6 Tl 3.41-3.48
Sr 0.0000 0.5000 0.0000  8 Tl 3.60, 2 Sr 3.91, 4 Sn 4.01
Sr 0.7684 0.7684 0.5369  6 Tl 3.41-3.48

Crystal system: orthorhombic
Formation energy: -0.214 eV per atom

Density functional theory data (PBE) for a relaxed LiRhW crystal.

Cell: 4.1313 4.1313 4.1313 Å, 60.00 60.00 60.00°
Closest atoms and distances in Å follow each position.
Element x y z (fractional)
Li 0.5000 0.5000 0.5000  4 Rh 2.53
W 0.0000 0.0000 0.0000  4 Rh 2.53
Rh 0.2500 0.2500 0.2500  4 W 2.53, 4 Li 2.53

Crystal system: cubic
Polymorph energy (0 for the lowest one): 1.22 eV per formula unit
Formation energy: 0.518 eV per atom

Density functional theory data (PBE) for a relaxed LaBe2Os crystal.

Cell: 3.0905 3.0925 6.4598 Å, 90.00 90.00 90.00°
Closest atoms and distances in Å follow each position.
Element x y z (fractional)
Be 0.0000 0.0000 0.9086  1 Be 2.05
Be 0.0000 0.0000 0.5914  1 Be 2.05
La 0.5000 0.5000 0.2500  4 La 3.09, 8 Be 3.11, 2 Os 3.23
Os 0.5000 0.5000 0.7500  8 Be 2.41

Crystal system: tetragonal
Polymorph energy (0 for the lowest one): 0.60 eV per formula unit
Formation energy: 0.011 eV per atom

Density functional theory data (PBE) for a relaxed CsNaBe2Bi crystal.

Cell: 5.5377 5.7324 5.5377 Å, 90.00 90.00 90.00°
Closest atoms and distances in Å follow each position.
Element x y z (fractional)
Be 0.0000 0.0000 0.5000  2 Na 2.77
Be 0.5000 0.0000 0.0000  2 Na 2.77
Na 0.0000 0.0000 0.0000  4 Be 2.77, 2 Bi 2.87
Cs 0.5000 0.5000 0.5000  4 Bi 3.92, 8 Be 3.99
Bi 0.0000 0.5000 0.0000  2 Na 2.87

Crystal system: tetragonal
Formation energy: 1.110 eV per atom

Density functional theory data (PBE) for a relaxed CdCoSb2N crystal.

Cell: 5.1061 3.6346 5.1061 Å, 90.00 90.00 90.00°
Closest atoms and distances in Å follow each position.
Element x y z (fractional)
Sb 0.0000 0.0000 0.5000  2 N 2.55
Sb 0.5000 0.0000 0.0000  2 N 2.55
Co 0.0000 0.5000 0.0000  2 N 1.82
Cd 0.5000 0.5000 0.5000  8 Sb 3.13
N 0.0000 0.0000 0.0000  2 Co 1.82

Crystal system: tetragonal
Energy relative to the elements, uncorrected: 416.5 meV per atom

Density functional theory data (PBE) for a relaxed YAs2Os2 crystal.

Cell: 4.5099 4.5099 5.5851 Å, 66.19 66.19 90.00°
Closest atoms and distances in Å follow each position.
Element x y z (fractional)
As 0.2500 0.7500 0.5000  4 Os 2.50
As 0.7500 0.2500 0.5000  4 Os 2.50
Y 0.0000 0.0000 0.0000  8 As 3.22, 10 Os 3.36-3.42
Os 0.6332 0.6332 0.7335  1 Os 2.44, 4 As 2.50
Os 0.3668 0.3668 0.2665  1 Os 2.44, 4 As 2.50

Crystal system: tetragonal
Polymorph energy (0 for the lowest one): 0.50 eV per formula unit
Formation energy: -0.255 eV per atom

Density functional theory data (PBE) for a relaxed Li6CdCu2 crystal.

Cell: 4.4680 4.4401 8.1324 Å, 90.76 90.00 120.21°
Closest atoms and distances in Å follow each position.
Element x y z (fractional)
Li 0.9977 0.9954 0.1478  1 Li 2.40
Li 0.6646 0.3292 0.2698  1 Cu 2.51, 6 Li 2.69-2.76
Li 0.0023 0.0046 0.8522  1 Li 2.40
Li 0.6677 0.3355 0.6283  4 Li 2.69-2.92, 1 Cu 2.71, 3 Cd 2.77
Li 0.3354 0.6708 0.7302  1 Cu 2.51, 6 Li 2.69-2.76
Li 0.3323 0.6645 0.3717  4 Li 2.69-2.92, 1 Cu 2.71, 3 Cd 2.77
Cu 0.3325 0.6649 0.0386  5 Li 2.51-2.73, 3 Cu 2.64-2.66
Cu 0.6675 0.3351 0.9614  5 Li 2.51-2.73, 3 Cu 2.64-2.66
Cd 0.0000 0.0000 0.5000  8 Li 2.77-2.86

Crystal system: monoclinic
Polymorph energy (0 for the lowest one): 0.00 eV per formula unit
Formation energy: -0.068 eV per atom

Density functional theory data (PBE) for a relaxed GdLuInNi crystal.

Cell: 5.0684 5.0684 5.0684 Å, 60.00 60.00 60.00°
Closest atoms and distances in Å follow each position.
Element x y z (fractional)
In 0.2500 0.2500 0.2500  4 Lu 3.10, 4 Gd 3.10
Ni 0.7500 0.7500 0.7500  4 Gd 3.10, 4 Lu 3.10
Gd 0.0000 0.0000 0.0000  4 In 3.10, 4 Ni 3.10
Lu 0.5000 0.5000 0.5000  4 In 3.10, 4 Ni 3.10

Crystal system: cubic
Formation energy: -0.313 eV per atom

Density functional theory data (PBE) for a relaxed Pm3Co4 crystal.

Cell: 3.9404 4.1762 9.0350 Å, 103.36 102.60 90.00°
Closest atoms and distances in Å follow each position.
Element x y z (fractional)
Pm 0.1851 0.1851 0.3702  7 Co 2.91-3.14
Pm 0.8149 0.8149 0.6298  7 Co 2.91-3.14
Pm 0.5000 0.0000 0.0000  12 Co 3.07-3.09
Co 0.9330 0.4330 0.8659  3 Co 2.26-2.30
Co 0.0670 0.5670 0.1341  3 Co 2.26-2.30
Co 0.6316 0.6316 0.2631  2 Co 2.26
Co 0.3684 0.3684 0.7369  2 Co 2.26

Crystal system: orthorhombic
Formation energy: -0.103 eV per atom

Number 1: calculated volume 19.34 Å³/atom. Number 2: calculated volume 23.04 Å³/atom. Number 3: calculated volume 21.87 Å³/atom. Number 4: calculated volume 34.98 Å³/atom. Number 5: calculated volume 16.62 Å³/atom. Number 6: calculated volume 15.43 Å³/atom. Number 7: calculated volume 35.16 Å³/atom. Number 8: calculated volume 18.95 Å³/atom. Number 9: calculated volume 18.65 Å³/atom. Number 10: calculated volume 15.49 Å³/atom. Number 11: calculated volume 23.02 Å³/atom. Number 12: calculated volume 20.14 Å³/atom.